A plane-wave DFT calculation with SCAN was carried out for a PBEsol-optimized structure of LaInRu.

calculated formation energy = 2.14 eV per formula unit
calculated volume = 320 Å³ per cell
ρ = 7360 kg/m³

a = 6.8413 Å, b = 6.8413 Å, c = 6.8413 Å
α = 90.00°, β = 90.00°, γ = 90.00°
Closest atoms and distances in Å follow each position.
Space group F-43m (No. 216)
Symmetry-distinct sites (fractional):
La (0.0000, 0.0000, 0.0000) x4  4 In 2.96, 4 Ru 2.96
In (0.2500, 0.2500, 0.2500) x4  4 La 2.96
Ru (0.2500, 0.2500, 0.7500) x4  4 La 2.96

A plane-wave DFT calculation with SCAN was carried out for a PBEsol-optimized structure of Tc2P3.

calculated formation energy = -2.94 eV per formula unit
calculated volume = 280 Å³ per cell
ρ = 6852 kg/m³
energy above the most stable polymorph in this dataset = 0 meV/atom

a = 6.2014 Å, b = 6.3025 Å, c = 7.6500 Å
α = 96.03°, β = 101.62°, γ = 104.24°
Closest atoms and distances in Å follow each position.
Space group P-1 (No. 2)
Symmetry-distinct sites (fractional):
Tc (0.0387, 0.3631, 0.3619) x2  6 P 2.33-2.42
Tc (0.1209, 0.0823, 0.8601) x2  5 P 2.28-2.41
Tc (0.4019, 0.9165, 0.1451) x2  5 P 2.30-2.43
Tc (0.4232, 0.6301, 0.6318) x2  6 P 2.33-2.43
P (0.0371, 0.6827, 0.9624) x2  1 P 2.39, 4 Tc 2.40-2.68
P (0.1290, 0.3465, 0.6782) x2  4 Tc 2.28-2.39
P (0.2357, 0.0767, 0.3623) x2  1 P 2.22, 4 Tc 2.39-2.43
P (0.2650, 0.9372, 0.6186) x2  1 P 2.22, 4 Tc 2.36-2.40
P (0.3622, 0.6381, 0.3179) x2  4 Tc 2.30-2.41
P (0.4671, 0.3226, 0.0440) x2  1 P 2.37, 3 Tc 2.37-2.40

A plane-wave DFT calculation with SCAN was carried out for a PBEsol-optimized structure of MnZn2CCl.

calculated volume = 100 Å³ per cell
raw total energy = -11.221 eV per atom
ρ = 3883 kg/m³

a = 4.8251 Å, b = 4.8251 Å, c = 4.2840 Å
α = 90.00°, β = 90.00°, γ = 90.00°
Closest atoms and distances in Å follow each position.
Space group P4/mmm (No. 123)
Symmetry-distinct sites (fractional):
Mn (0.0000, 0.0000, 0.0000) x1  2 Cl 2.14
Zn (0.0000, 0.5000, 0.0000) x2  2 Mn 2.41
C (0.5000, 0.5000, 0.5000) x1  8 Zn 3.23, 4 Cl 3.41
Cl (0.0000, 0.0000, 0.5000) x1  2 Mn 2.14

A plane-wave DFT calculation with SCAN was carried out for a PBEsol-optimized structure of KInMo2.

calculated formation energy = 5.82 eV per formula unit
calculated volume = 157 Å³ per cell
ρ = 7326 kg/m³

a = 4.0156 Å, b = 4.0156 Å, c = 9.7219 Å
α = 90.00°, β = 90.00°, γ = 90.00°
Closest atoms and distances in Å follow each position.
Space group I4/mmm (No. 139)
Symmetry-distinct sites (fractional):
K (0.0000, 0.0000, 0.0000) x2  4 In 2.84, 8 Mo 3.15
In (0.0000, 0.0000, 0.5000) x2  4 K 2.84, 8 Mo 3.15
Mo (0.0000, 0.5000, 0.2500) x4  4 Mo 2.84, 4 In 3.15, 4 K 3.15

A plane-wave DFT calculation with SCAN was carried out for a PBEsol-optimized structure of Ba2MgSe.

calculated volume = 273 Å³ per cell
raw total energy = -26.734 eV per atom
ρ = 4595 kg/m³

a = 5.4449 Å, b = 5.4449 Å, c = 9.2134 Å
α = 90.00°, β = 90.00°, γ = 90.00°
Closest atoms and distances in Å follow each position.
Space group I4/mmm (No. 139)
Symmetry-distinct sites (fractional):
Ba (0.0000, 0.5000, 0.2500) x4  4 Se 3.57, 4 Mg 3.57, 4 Ba 3.85
Mg (0.0000, 0.0000, 0.0000) x2  8 Ba 3.57, 4 Se 3.85
Se (0.0000, 0.0000, 0.5000) x2  8 Ba 3.57, 4 Mg 3.85

A plane-wave DFT calculation with SCAN was carried out for a PBEsol-optimized structure of Ta2PbAu.

calculated formation energy = 0.88 eV per formula unit
calculated volume = 152 Å³ per cell
ρ = 16773 kg/m³

a = 9.8560 Å, b = 3.1863 Å, c = 4.9570 Å
α = 90.00°, β = 102.99°, γ = 90.00°
Closest atoms and distances in Å follow each position.
Space group C2/m (No. 12)
Symmetry-distinct sites (fractional):
Ta (0.2457, 0.0000, 0.2275) x4  2 Ta 2.78, 3 Au 2.91-2.97, 3 Pb 3.02-3.03
Pb (0.0000, 0.0000, 0.5000) x2  4 Au 2.95, 6 Ta 3.02-3.03, 2 Pb 3.19
Au (0.0000, 0.5000, 0.0000) x2  6 Ta 2.91-2.97, 4 Pb 2.95, 2 Au 3.19

A plane-wave DFT calculation with SCAN was carried out for a PBEsol-optimized structure of BaO6.

calculated volume = 486 Å³ per cell
raw total energy = -11.796 eV per atom
ρ = 3189 kg/m³

a = 7.4889 Å, b = 10.1261 Å, c = 6.4310 Å
α = 90.00°, β = 94.76°, γ = 90.00°
Closest atoms and distances in Å follow each position.
Space group C2/c (No. 15)
Symmetry-distinct sites (fractional):
Ba (0.0000, 0.1793, 0.2500) x4  12 O 2.73-2.88
O (0.1500, 0.0558, 0.6225) x8  1 O 1.29
O (0.1933, 0.2936, 0.9568) x8  1 O 1.32
O (0.2139, 0.3814, 0.4379) x8  1 O 1.29

A plane-wave DFT calculation with SCAN was carried out for a PBEsol-optimized structure of AlPt2Rh.

calculated formation energy = -1.99 eV per formula unit
calculated volume = 232 Å³ per cell
ρ = 14920 kg/m³

a = 6.1405 Å, b = 6.1405 Å, c = 6.1405 Å
α = 90.00°, β = 90.00°, γ = 90.00°
Closest atoms and distances in Å follow each position.
Space group F-43m (No. 216)
Symmetry-distinct sites (fractional):
Al (0.0000, 0.0000, 0.0000) x4  4 Rh 2.66, 4 Pt 2.66
Pt (0.0000, 0.0000, 0.5000) x4  4 Pt 2.66, 4 Rh 2.66
Pt (0.2500, 0.2500, 0.7500) x4  4 Al 2.66, 4 Pt 2.66
Rh (0.2500, 0.2500, 0.2500) x4  4 Al 2.66, 4 Pt 2.66

Q: Among the records above, which one has the lowest calculated volume?
A: MnZn2CCl

Q: Which value of ρ does entry 3 give?
A: 3883 kg/m³

Q: Look up the ρ of the first one.
A: 7360 kg/m³